[1]
Here is a relaxed NiC2 crystal from Alexandria. Energies are from PBE.

Calculated values
size of the total moment: 0.0000 μB per atom
energy relative to the elements: 1199 meV per atom
offset from the most stable computed form: 0.7803 eV per atom

Cell: 2.7591 2.7591 3.8176 Å, 90.00 90.00 120.00°
Space group P-6m2 (No. 187)
Unique sites:
Ni 0.0000 0.0000 0.0000 [1 per cell]
C 0.6667 0.3333 0.3207 [2 per cell]

=====

[2]
Here is a relaxed Cr2SiBr crystal from Alexandria. Energies are from PBE.

Calculated values
size of the total moment: 1.7232 μB per atom
uncorrected formation energy: 1.4 eV/f.u.
offset from the most stable computed form: 0.1950 eV per atom

Cell: 3.1191 3.1191 7.0254 Å, 90.00 90.00 90.00°
Space group P4/mmm (No. 123)
Unique sites:
Cr 0.0000 0.0000 0.2019 [2 per cell]
Si 0.5000 0.5000 0.0000 [1 per cell]
Br 0.5000 0.5000 0.5000 [1 per cell]

=====

[3]
Here is a relaxed OsRu3 crystal from Alexandria. Energies are from PBE.

Calculated values
size of the total moment: 0.0779 μB per atom
energy relative to the elements: 652 meV per atom

Cell: 6.1368 6.1368 6.1368 Å, 90.00 90.00 90.00°
Space group Fm-3m (No. 225)
Unique sites:
Os 0.0000 0.0000 0.0000 [4 per cell]
Ru 0.0000 0.0000 0.5000 [4 per cell]
Ru 0.2500 0.2500 0.2500 [8 per cell]

=====

Q: Which value of size of the total moment does entry 1 give?
A: 0.0000 μB per atom